[1]
! ZrNpSe PBE-GGA optimized geometry; values from VASP
! DFT total energy, eV per atom: -8.575
! Symmetry: Cmcm
&SYSTEM
  ibrav = 0, nat = 6, ntyp = 3
/
ATOMIC_SPECIES
Zr 91.22 Zr.upf
Np 237.00 Np.upf
Se 78.96 Se.upf
CELL_PARAMETERS angstrom
2.217 -8.003 0.000
2.217 8.003 0.000
0.000 0.000 4.484
ATOMIC_POSITIONS angstrom
Zr 2.217 6.614 3.363
Zr 2.217 -6.614 1.121
Np 2.217 0.502 3.363
Np 2.217 -0.502 1.121
Se 2.217 5.311 1.121
Se 2.217 -5.311 3.363

***

[2]
! NpSi3 PBE-GGA optimized geometry; values from VASP
! DFT total energy, eV per atom: -7.550
! Symmetry: Pm-3m
&SYSTEM
  ibrav = 0, nat = 4, ntyp = 2
/
ATOMIC_SPECIES
Np 237.00 Np.upf
Si 28.09 Si.upf
CELL_PARAMETERS angstrom
3.983 0.000 0.000
0.000 3.983 0.000
0.000 0.000 3.983
ATOMIC_POSITIONS angstrom
Np 0.000 0.000 0.000
Si 0.000 1.991 1.991
Si 1.991 0.000 1.991
Si 1.991 1.991 0.000

***

[3]
! NpSi2 PBE-GGA optimized geometry; values from VASP
! Energy relative to the lowest polymorph listed for this composition, meV per atom: 0
! Symmetry: I4_1/amd
&SYSTEM
  ibrav = 0, nat = 6, ntyp = 2
/
ATOMIC_SPECIES
Np 237.00 Np.upf
Si 28.09 Si.upf
CELL_PARAMETERS angstrom
-1.961 1.961 7.129
1.961 -1.961 7.129
1.961 1.961 -7.129
ATOMIC_POSITIONS angstrom
Np 1.961 0.981 1.782
Np 0.000 0.981 5.347
Si 1.961 -0.981 4.176
Si 1.961 -0.981 6.517
Si 0.000 2.942 0.612
Si 0.000 2.942 2.953

***

[4]
! NpSi2 PBE-GGA optimized geometry; values from VASP
! Energy relative to the lowest polymorph listed for this composition, meV per atom: 63
! Symmetry: Imma
&SYSTEM
  ibrav = 0, nat = 6, ntyp = 2
/
ATOMIC_SPECIES
Np 237.00 Np.upf
Si 28.09 Si.upf
CELL_PARAMETERS angstrom
-2.106 3.142 3.958
2.106 -3.142 3.958
2.106 3.142 -3.958
ATOMIC_POSITIONS angstrom
Np 0.000 1.571 0.418
Np 2.106 1.571 3.540
Si 2.106 -0.318 1.319
Si 2.106 2.824 -1.319
Si 0.000 0.318 5.277
Si 0.000 3.460 2.639

***

[5]
! NpSi2 PBE-GGA optimized geometry; values from VASP
! Energy relative to the lowest polymorph listed for this composition, meV per atom: 183
! Symmetry: I4/mmm
&SYSTEM
  ibrav = 0, nat = 3, ntyp = 2
/
ATOMIC_SPECIES
Np 237.00 Np.upf
Si 28.09 Si.upf
CELL_PARAMETERS angstrom
-1.641 1.641 5.012
1.641 -1.641 5.012
1.641 1.641 -5.012
ATOMIC_POSITIONS angstrom
Np 0.000 0.000 0.000
Si 0.000 0.000 3.011
Si 0.000 0.000 7.013

***

[6]
! NpSi2 PBE-GGA optimized geometry; values from VASP
! Energy relative to the lowest polymorph listed for this composition, meV per atom: 264
! Symmetry: Pnma
&SYSTEM
  ibrav = 0, nat = 12, ntyp = 2
/
ATOMIC_SPECIES
Np 237.00 Np.upf
Si 28.09 Si.upf
CELL_PARAMETERS angstrom
4.833 0.000 0.000
0.000 5.252 0.000
0.000 0.000 8.021
ATOMIC_POSITIONS angstrom
Np 0.610 1.313 1.474
Np 1.807 3.939 5.485
Np 3.026 1.313 2.536
Np 4.223 3.939 6.546
Si 0.649 1.313 4.325
Si 0.700 1.313 6.717
Si 1.716 3.939 2.707
Si 1.768 3.939 0.315
Si 3.065 1.313 7.706
Si 3.117 1.313 5.314
Si 4.133 3.939 1.303
Si 4.184 3.939 3.696

***

[7]
! Np4Si PBE-GGA optimized geometry; values from VASP
! DFT total energy, eV per atom: -10.187
! Symmetry: Pm-3m
&SYSTEM
  ibrav = 0, nat = 5, ntyp = 2
/
ATOMIC_SPECIES
Np 237.00 Np.upf
Si 28.09 Si.upf
CELL_PARAMETERS angstrom
5.237 0.000 0.000
0.000 5.237 0.000
0.000 0.000 5.237
ATOMIC_POSITIONS angstrom
Np 0.000 0.000 0.000
Np 0.000 2.619 2.619
Np 2.619 0.000 2.619
Np 2.619 2.619 0.000
Si 2.619 2.619 2.619

***

[8]
! NpSi3 PBE-GGA optimized geometry; values from VASP
! DFT total energy, eV per atom: -6.988
! Symmetry: I4/mmm
&SYSTEM
  ibrav = 0, nat = 4, ntyp = 2
/
ATOMIC_SPECIES
Np 237.00 Np.upf
Si 28.09 Si.upf
CELL_PARAMETERS angstrom
-1.943 1.943 5.182
1.943 -1.943 5.182
1.943 1.943 -5.182
ATOMIC_POSITIONS angstrom
Np 0.000 0.000 0.000
Si 0.000 0.000 2.901
Si 0.000 0.000 5.182
Si 0.000 0.000 7.463

***

[9]
! NpSi2 PBE-GGA optimized geometry; values from VASP
! Energy relative to the lowest polymorph listed for this composition, meV per atom: 65
! Symmetry: Fd-3m
&SYSTEM
  ibrav = 0, nat = 6, ntyp = 2
/
ATOMIC_SPECIES
Np 237.00 Np.upf
Si 28.09 Si.upf
CELL_PARAMETERS angstrom
0.000 3.672 3.672
3.672 0.000 3.672
3.672 3.672 0.000
ATOMIC_POSITIONS angstrom
Np 0.918 0.918 0.918
Np 6.427 6.427 6.427
Si 3.672 1.836 1.836
Si 1.836 3.672 1.836
Si 1.836 1.836 3.672
Si 3.672 3.672 3.672

***

[10]
! NpSi5 PBE-GGA optimized geometry; values from VASP
! DFT total energy, eV per atom: -6.570
! Symmetry: Cmmm
&SYSTEM
  ibrav = 0, nat = 6, ntyp = 2
/
ATOMIC_SPECIES
Np 237.00 Np.upf
Si 28.09 Si.upf
CELL_PARAMETERS angstrom
2.148 -6.247 0.000
2.148 6.247 0.000
0.000 0.000 3.545
ATOMIC_POSITIONS angstrom
Np 0.000 0.000 0.000
Si 2.148 3.913 1.772
Si 2.148 1.955 0.000
Si 2.148 0.000 1.772
Si 2.148 -1.955 0.000
Si 2.148 -3.913 1.772

***

[11]
! Sm2NpSi6 PBE-GGA optimized geometry; values from VASP
! DFT total energy, eV per atom: -6.580
! Symmetry: P6/mmm
&SYSTEM
  ibrav = 0, nat = 9, ntyp = 3
/
ATOMIC_SPECIES
Sm 150.36 Sm.upf
Np 237.00 Np.upf
Si 28.09 Si.upf
CELL_PARAMETERS angstrom
7.070 0.000 0.000
-3.535 6.123 0.000
0.000 0.000 4.003
ATOMIC_POSITIONS angstrom
Sm 0.000 4.082 0.000
Sm 3.535 2.041 0.000
Np 0.000 0.000 0.000
Si -1.170 2.027 2.001
Si -2.365 4.096 2.001
Si 2.340 0.000 2.001
Si 1.170 2.027 2.001
Si 4.730 0.000 2.001
Si 2.365 4.096 2.001

***

[12]
! SmNpSi4 PBE-GGA optimized geometry; values from VASP
! DFT total energy, eV per atom: -6.887
! Symmetry: Pbam
&SYSTEM
  ibrav = 0, nat = 24, ntyp = 3
/
ATOMIC_SPECIES
Sm 150.36 Sm.upf
Np 237.00 Np.upf
Si 28.09 Si.upf
CELL_PARAMETERS angstrom
6.947 0.000 0.000
0.000 16.608 0.000
0.000 0.000 3.934
ATOMIC_POSITIONS angstrom
Sm 0.618 3.087 0.000
Sm 2.856 11.391 0.000
Sm 4.091 5.217 0.000
Sm 6.329 13.521 0.000
Np 0.569 7.253 0.000
Np 2.905 15.557 0.000
Np 4.042 1.051 0.000
Np 6.378 9.355 0.000
Si 0.539 11.343 1.967
Si 0.619 15.444 1.967
Si 1.592 9.171 1.967
Si 1.712 13.421 1.967
Si 1.762 5.117 1.967
Si 1.881 0.867 1.967
Si 2.854 7.140 1.967
Si 2.935 3.039 1.967
Si 4.012 13.569 1.967
Si 4.093 9.468 1.967
Si 5.066 15.741 1.967
Si 5.185 11.491 1.967
Si 5.235 3.187 1.967
Si 5.355 7.437 1.967
Si 6.327 1.164 1.967
Si 6.408 5.265 1.967

***

[13]
! NpSi2Sn PBE-GGA optimized geometry; values from VASP
! DFT total energy, eV per atom: -7.038
! Symmetry: P4/mmm
&SYSTEM
  ibrav = 0, nat = 4, ntyp = 3
/
ATOMIC_SPECIES
Np 237.00 Np.upf
Si 28.09 Si.upf
Sn 118.71 Sn.upf
CELL_PARAMETERS angstrom
4.385 0.000 0.000
0.000 4.385 0.000
0.000 0.000 3.985
ATOMIC_POSITIONS angstrom
Np 0.000 0.000 0.000
Si 0.000 2.193 1.993
Si 2.193 0.000 1.993
Sn 2.193 2.193 0.000

***

[14]
! Np2SiSn PBE-GGA optimized geometry; values from VASP
! DFT total energy, eV per atom: -8.915
! Symmetry: P4/mmm
&SYSTEM
  ibrav = 0, nat = 4, ntyp = 3
/
ATOMIC_SPECIES
Np 237.00 Np.upf
Si 28.09 Si.upf
Sn 118.71 Sn.upf
CELL_PARAMETERS angstrom
3.957 0.000 0.000
0.000 3.957 0.000
0.000 0.000 5.668
ATOMIC_POSITIONS angstrom
Np 0.000 0.000 1.315
Np 0.000 0.000 4.353
Si 1.979 1.979 0.000
Sn 1.979 1.979 2.834

***

[15]
! SrNpSi4 PBE-GGA optimized geometry; values from VASP
! DFT total energy, eV per atom: -6.230
! Symmetry: Pbam
&SYSTEM
  ibrav = 0, nat = 24, ntyp = 3
/
ATOMIC_SPECIES
Sr 87.62 Sr.upf
Np 237.00 Np.upf
Si 28.09 Si.upf
CELL_PARAMETERS angstrom
7.821 0.000 0.000
0.000 15.619 0.000
0.000 0.000 4.272
ATOMIC_POSITIONS angstrom
Sr 0.928 2.411 0.000
Sr 2.982 10.221 0.000
Sr 4.839 5.398 0.000
Sr 6.893 13.208 0.000
Np 0.956 6.499 0.000
Np 2.954 14.309 0.000
Np 4.866 1.310 0.000
Np 6.865 9.120 0.000
Si 0.253 10.836 2.136
Si 0.981 14.936 2.136
Si 0.985 8.537 2.136
Si 1.769 12.644 2.136
Si 2.142 4.835 2.136
Si 2.925 0.728 2.136
Si 2.929 7.127 2.136
Si 3.658 3.026 2.136
Si 4.163 12.593 2.136
Si 4.892 8.492 2.136
Si 4.895 14.891 2.136
Si 5.679 10.784 2.136
Si 6.052 2.975 2.136
Si 6.836 7.082 2.136
Si 6.839 0.683 2.136
Si 7.568 4.783 2.136

***

[16]
! SrNp2Si6 PBE-GGA optimized geometry; values from VASP
! DFT total energy, eV per atom: -6.893
! Symmetry: P6/mmm
&SYSTEM
  ibrav = 0, nat = 9, ntyp = 3
/
ATOMIC_SPECIES
Sr 87.62 Sr.upf
Np 237.00 Np.upf
Si 28.09 Si.upf
CELL_PARAMETERS angstrom
7.089 0.000 0.000
-3.545 6.140 0.000
0.000 0.000 4.011
ATOMIC_POSITIONS angstrom
Sr 0.000 0.000 0.000
Np 0.000 4.093 0.000
Np 3.545 2.047 0.000
Si -1.199 2.077 2.005
Si -2.346 4.063 2.005
Si 2.398 0.000 2.005
Si 1.199 2.077 2.005
Si 4.691 0.000 2.005
Si 2.346 4.063 2.005

***

[17]
! NpTaSi2 PBE-GGA optimized geometry; values from VASP
! DFT total energy, eV per atom: -8.991
! Symmetry: R-3m
&SYSTEM
  ibrav = 0, nat = 4, ntyp = 3
/
ATOMIC_SPECIES
Np 237.00 Np.upf
Ta 180.95 Ta.upf
Si 28.09 Si.upf
CELL_PARAMETERS angstrom
1.845 1.065 6.648
-1.845 1.065 6.648
0.000 -2.130 6.648
ATOMIC_POSITIONS angstrom
Np 0.000 0.000 0.000
Ta 0.000 0.000 9.972
Si 0.000 0.000 4.803
Si 0.000 0.000 15.142

***

[18]
! TbNpSi2 PBE-GGA optimized geometry; values from VASP
! DFT total energy, eV per atom: -7.247
! Symmetry: R-3m
&SYSTEM
  ibrav = 0, nat = 4, ntyp = 3
/
ATOMIC_SPECIES
Tb 158.93 Tb.upf
Np 237.00 Np.upf
Si 28.09 Si.upf
CELL_PARAMETERS angstrom
1.995 1.152 6.959
-1.995 1.152 6.959
0.000 -2.304 6.959
ATOMIC_POSITIONS angstrom
Tb 0.000 0.000 0.000
Np 0.000 0.000 10.438
Si 0.000 0.000 5.150
Si 0.000 0.000 15.726

***

[19]
! NpSi2Tc PBE-GGA optimized geometry; values from VASP
! Energy relative to the lowest polymorph listed for this composition, meV per atom: 59
! Symmetry: R-3m
&SYSTEM
  ibrav = 0, nat = 4, ntyp = 3
/
ATOMIC_SPECIES
Np 237.00 Np.upf
Si 28.09 Si.upf
Tc 98.00 Tc.upf
CELL_PARAMETERS angstrom
2.083 1.202 4.642
-2.083 1.202 4.642
0.000 -2.405 4.642
ATOMIC_POSITIONS angstrom
Np 0.000 0.000 0.000
Si 0.000 0.000 3.017
Si 0.000 0.000 10.910
Tc 0.000 0.000 6.964

***

[20]
! NpSi2Tc PBE-GGA optimized geometry; values from VASP
! Energy relative to the lowest polymorph listed for this composition, meV per atom: 0
! Symmetry: P2_1/m
&SYSTEM
  ibrav = 0, nat = 8, ntyp = 3
/
ATOMIC_SPECIES
Np 237.00 Np.upf
Si 28.09 Si.upf
Tc 98.00 Tc.upf
CELL_PARAMETERS angstrom
4.252 0.000 0.000
0.000 6.178 0.000
-1.572 0.000 5.136
ATOMIC_POSITIONS angstrom
Np -0.002 1.545 0.648
Np 2.683 4.634 4.488
Si 0.639 0.321 3.715
Si 0.639 2.768 3.715
Si 2.042 3.410 1.421
Si 2.042 5.857 1.421
Tc -0.096 4.634 2.156
Tc 2.776 1.545 2.980

***

V in Å³/atom, matching the order above: 26.52; 15.79; 18.28; 17.46; 18.01; 16.97; 28.73; 19.57; 16.51; 15.86; 19.26; 18.91; 19.16; 22.19; 21.74; 19.40; 19.60; 23.99; 17.44; 16.87